Below is crystalline Sc2TaAs at its relaxed geometry, with properties calculated at the PBE-GGA level.

Properties
Spin magnetization, μB per cell: 0.00
Total energy, eV/atom: -7.57
D(E_F), states/eV/f.u.: 3.2
DFT formation energy, kJ/mol of atoms: -26.7

a = 5.402 Å, b = 5.402 Å, c = 4.956 Å
α = 73.21°, β = 73.21°, γ = 35.40°
Element x y z (fractional)
As (0.230, 0.230, 0.231)
Sc (0.973, 0.973, 0.052)
Sc (0.765, 0.765, 0.714)
Ta (0.531, 0.531, 0.503)